# Ac6LaS8

A relaxed Ac6LaS8 crystal (PBE, Alexandria).

Unit cell a=8.5832 b=8.5832 c=8.5832 alpha=60.00 beta=60.00 gamma=60.00
Atoms (fractional coordinates):
Ac (0.0000, 0.0000, 0.5000)
Ac (0.0000, 0.5000, 0.0000)
Ac (0.0000, 0.5000, 0.5000)
Ac (0.5000, 0.0000, 0.0000)
Ac (0.5000, 0.0000, 0.5000)
Ac (0.5000, 0.5000, 0.0000)
La (0.0000, 0.0000, 0.0000)
S (0.2423, 0.2423, 0.7577)
S (0.2423, 0.7577, 0.2423)
S (0.2423, 0.7577, 0.7577)
S (0.2500, 0.2500, 0.2500)
S (0.7500, 0.7500, 0.7500)
S (0.7577, 0.2423, 0.2423)
S (0.7577, 0.2423, 0.7577)
S (0.7577, 0.7577, 0.2423)

DOS(E_F): 0.51 states/eV per atom
Space group: No. 225
E: -93.35 eV per cell
Energy relative to the elements, uncorrected: -2050 meV per atom

***

# CeZnCuNi3

A relaxed CeZnCuNi3 crystal (PBE, Alexandria).

Unit cell a=7.0166 b=7.0166 c=5.3302 alpha=90.00 beta=90.00 gamma=137.26
Atoms (fractional coordinates):
Ce (0.1643, 0.8357, 0.7500)
Ce (0.8357, 0.1643, 0.2500)
Zn (0.3834, 0.6166, 0.7500)
Zn (0.6166, 0.3834, 0.2500)
Cu (0.1407, 0.8593, 0.2500)
Cu (0.8593, 0.1407, 0.7500)
Ni (0.2442, 0.2442, 0.0000)
Ni (0.2442, 0.2442, 0.5000)
Ni (0.3430, 0.6570, 0.2500)
Ni (0.6570, 0.3430, 0.7500)
Ni (0.7558, 0.7558, 0.0000)
Ni (0.7558, 0.7558, 0.5000)

DOS(E_F): 0.82 states/eV per atom
Space group: No. 63
E: -58.63 eV per cell
Formation enthalpy at 0 K: -11 kJ/mol of atoms